This record from Alexandria via LeMat-Bulk describes an optimized crystal structure of Ag5PtAu8. The functional is PBE.

The raw total energy is -3.2034 eV per atom. Its size of the total moment is 0.00 μB per formula unit. As for the crystal system: tetragonal. The space group is I-4, No. 82. As for the formation energy: 0.119 eV per atom.

a b c (Å): 7.029 7.029 7.029
angles (deg): 110.10 110.10 108.23
Atoms (fractional coordinates):
1 Ag 0.000 0.000 0.000
2 Ag 0.045 0.223 0.592
3 Ag 0.548 0.955 0.178
4 Ag 0.631 0.452 0.408
5 Ag 0.777 0.369 0.822
6 Pt 0.250 0.750 0.500
7 Au 0.104 0.673 0.784
8 Au 0.262 0.493 0.102
9 Au 0.327 0.111 0.431
10 Au 0.391 0.160 0.898
11 Au 0.507 0.609 0.769
12 Au 0.680 0.896 0.569
13 Au 0.840 0.738 0.231
14 Au 0.889 0.320 0.216


This record from Alexandria via LeMat-Bulk describes an optimized crystal structure of RbAlS2. The functional is PBE.

The raw total energy is -4.4919 eV per atom. For the formation energy without anion corrections, the calculation gives -1.251 eV per atom. Its size of the total moment is 0.00 μB per formula unit. As for the crystal system: tetragonal. The space group is I-42d, No. 122.

a b c (Å): 6.646 6.646 6.646
angles (deg): 116.06 116.06 96.96
Atoms (fractional coordinates):
1 Rb 0.000 0.000 0.000
2 Rb 0.750 0.250 0.500
3 Al 0.250 0.750 0.500
4 Al 0.500 0.500 0.000
5 S 0.241 0.625 0.116
6 S 0.375 0.491 0.616
7 S 0.509 0.125 0.884
8 S 0.875 0.759 0.384


This record from Alexandria via LeMat-Bulk describes an optimized crystal structure of Mg3MnRe. The functional is PBE.

The raw total energy is -3.6186 eV per atom. Its size of the total moment is 2.58 μB per formula unit. As for the crystal system: cubic. The space group is Pm-3m, No. 221. As for the formation energy: 1.662 eV per atom.

a b c (Å): 4.678 4.678 4.678
angles (deg): 90.00 90.00 90.00
Atoms (fractional coordinates):
1 Mg 0.000 0.000 0.500
2 Mg 0.000 0.500 0.000
3 Mg 0.500 0.000 0.000
4 Mn 0.000 0.000 0.000
5 Re 0.500 0.500 0.500


This record from Alexandria via LeMat-Bulk describes an optimized crystal structure of LiLa2GaPd. The functional is PBE.

The raw total energy is -4.2402 eV per atom. Its size of the total moment is 0.00 μB per formula unit. As for the crystal system: tetragonal. The energy above the most stable polymorph in this dataset is 0 meV per atom. The space group is P4/mmm, No. 123. As for the formation energy: -0.243 eV per atom.

a b c (Å): 5.744 5.744 4.868
angles (deg): 90.00 90.00 90.00
Atoms (fractional coordinates):
1 Li 0.000 0.000 0.000
2 La 0.000 0.500 0.500
3 La 0.500 0.000 0.500
4 Ga 0.500 0.500 0.000
5 Pd 0.500 0.500 0.500


This record from Alexandria via LeMat-Bulk describes an optimized crystal structure of Tb2AsBr3. The functional is PBE.

The raw total energy is -4.7669 eV per atom. For the formation energy without anion corrections, the calculation gives -1.612 eV per atom. Its size of the total moment is 0.00 μB per formula unit. As for the crystal system: monoclinic. The space group is C2/m, No. 12.

a b c (Å): 8.915 8.915 12.856
angles (deg): 123.54 123.54 28.18
Atoms (fractional coordinates):
1 Tb 0.105 0.105 0.454
2 Tb 0.364 0.364 0.176
3 Tb 0.636 0.636 0.824
4 Tb 0.895 0.895 0.546
5 As 0.093 0.093 0.666
6 As 0.907 0.907 0.334
7 Br 0.161 0.161 0.013
8 Br 0.263 0.263 0.398
9 Br 0.443 0.443 0.739
10 Br 0.557 0.557 0.261
11 Br 0.737 0.737 0.602
12 Br 0.839 0.839 0.987


This record from Alexandria via LeMat-Bulk describes an optimized crystal structure of Pm2HoCo9. The functional is PBE.

The raw total energy is -6.6097 eV per atom. Its size of the total moment is 10.36 μB per formula unit. As for the crystal system: trigonal. The space group is R-3m, No. 166. As for the formation energy: -0.107 eV per atom.

a b c (Å): 8.757 8.757 8.757
angles (deg): 33.09 33.09 33.09
Atoms (fractional coordinates):
1 Pm 0.139 0.139 0.139
2 Pm 0.861 0.861 0.861
3 Ho 0.000 0.000 0.000
4 Co 0.080 0.578 0.578
5 Co 0.334 0.334 0.334
6 Co 0.422 0.422 0.920
7 Co 0.422 0.920 0.422
8 Co 0.500 0.500 0.500
9 Co 0.578 0.080 0.578
10 Co 0.578 0.578 0.080
11 Co 0.666 0.666 0.666
12 Co 0.920 0.422 0.422